Density functional theory data (PBE) for La3Ta2N6 after structural relaxation.

a = 4.0768 Å, b = 4.0768 Å, c = 20.2944 Å
α = 90.00°, β = 90.00°, γ = 90.00°
With the nearest neighbours (Å) after each atom.
Space group I4/mmm (No. 139)
Inequivalent atoms, fractional coordinates:
La 0.0000 0.0000 0.0000 [2 per cell]  8 N 2.66
La 0.0000 0.0000 0.1822 [4 per cell]  1 N 2.45
Ta 0.0000 0.0000 0.3993 [4 per cell]  5 N 1.96-2.06
N 0.0000 0.0000 0.3029 [4 per cell]  1 Ta 1.96
N 0.0000 0.5000 0.0846 [8 per cell]  2 Ta 2.06

Properties
VASP energy	-208.22	eV per cell
M_tot	0.0	μB/f.u.
formation energy without anion corrections	-1.42	eV per atom

***

Density functional theory data (PBE) for SrSi3Pd9 after structural relaxation.

a = 5.2250 Å, b = 13.3183 Å, c = 6.3627 Å
α = 90.00°, β = 108.07°, γ = 90.00°
With the nearest neighbours (Å) after each atom.
Space group C2/m (No. 12)
Inequivalent atoms, fractional coordinates:
Sr 0.0000 0.0000 0.0000 [2 per cell]  14 Pd 3.12-3.36, 2 Si 3.43
Si 0.0000 0.5000 0.5000 [2 per cell]  6 Pd 2.40-2.61
Si 0.2500 0.2500 0.0000 [4 per cell]  8 Pd 2.46-2.68, 2 Si 2.61
Pd 0.0000 0.0000 0.5000 [2 per cell]  2 Si 2.61, 8 Pd 2.78-2.87
Pd 0.0761 0.3884 0.2300 [8 per cell]  3 Si 2.40-2.68
Pd 0.1141 0.1850 0.3171 [8 per cell]  2 Si 2.46-2.49

Properties
VASP energy	-144.09	eV per cell
M_tot	0.0	μB/f.u.
formation energy without anion corrections	-0.57	eV per atom

***

Density functional theory data (PBE) for AlTcB2H after structural relaxation.

a = 3.6944 Å, b = 3.6944 Å, c = 3.2952 Å
α = 90.00°, β = 90.00°, γ = 90.00°
With the nearest neighbours (Å) after each atom.
Space group P4/mmm (No. 123)
Inequivalent atoms, fractional coordinates:
Al 0.0000 0.0000 0.0000 [1 per cell]  8 B 2.48, 4 Tc 2.61
Tc 0.5000 0.5000 0.0000 [1 per cell]  2 H 1.65
B 0.0000 0.5000 0.5000 [2 per cell]  2 H 1.85
H 0.5000 0.5000 0.5000 [1 per cell]  2 Tc 1.65

Properties
VASP energy	-27.16	eV per cell
M_tot	0.0	μB/f.u.

***

Density functional theory data (PBE) for Sr2In3Pt4Au after structural relaxation.

a = 4.3432 Å, b = 4.3432 Å, c = 12.1433 Å
α = 90.00°, β = 90.00°, γ = 90.00°
With the nearest neighbours (Å) after each atom.
Space group P-4m2 (No. 115)
Inequivalent atoms, fractional coordinates:
Sr 0.0000 0.5000 0.2353 [2 per cell]  4 Pt 3.25, 6 In 3.46-3.59, 2 Au 3.59
In 0.0000 0.0000 0.0000 [1 per cell]  4 Pt 2.81, 4 Au 3.07
In 0.0000 0.5000 0.6328 [2 per cell]  5 Pt 2.67-2.71
Pt 0.0000 0.0000 0.5000 [1 per cell]  4 In 2.71
Pt 0.0000 0.5000 0.8526 [2 per cell]  3 In 2.67-2.81, 2 Au 2.81
Pt 0.5000 0.5000 0.5000 [1 per cell]  4 In 2.71
Au 0.5000 0.5000 0.0000 [1 per cell]  4 Pt 2.81, 4 In 3.07

Properties
VASP energy	-45.31	eV per cell
M_tot	0.0	μB/f.u.
energy of formation from the pure elements	-0.63	eV per atom

***

Density functional theory data (PBE) for PrZn2Ni4Ge after structural relaxation.

a = 4.0865 Å, b = 4.0865 Å, c = 25.3344 Å
α = 90.00°, β = 90.00°, γ = 120.00°
With the nearest neighbours (Å) after each atom.
Space group R-3m (No. 166, hexagonal axes)
Inequivalent atoms, fractional coordinates:
Pr 0.0000 0.0000 0.0000 [3 per cell]  6 Ni 3.02, 6 Zn 3.32
Zn 0.0000 0.0000 0.2412 [6 per cell]  6 Ni 2.40-2.59
Ni 0.0000 0.0000 0.1343 [6 per cell]  3 Ge 2.50, 4 Zn 2.59-2.71
Ni 0.0000 0.0000 0.4080 [6 per cell]  1 Ge 2.33, 3 Zn 2.40
Ge 0.0000 0.0000 0.5000 [3 per cell]  8 Ni 2.33-2.50

Properties
VASP energy	-111.72	eV per cell
M_tot	0.0	μB/f.u.
energy of formation from the pure elements	-0.27	eV per atom

***

Density functional theory data (PBE) for TaV3Bi after structural relaxation.

a = 4.8431 Å, b = 4.8431 Å, c = 4.8431 Å
α = 90.00°, β = 90.00°, γ = 90.00°
With the nearest neighbours (Å) after each atom.
Space group Pm-3m (No. 221)
Inequivalent atoms, fractional coordinates:
Ta 0.0000 0.0000 0.0000 [1 per cell]  12 V 3.42
V 0.0000 0.5000 0.5000 [3 per cell]  2 Bi 2.42
Bi 0.5000 0.5000 0.5000 [1 per cell]  6 V 2.42

Properties
VASP energy	-32.95	eV per cell
M_tot	2.9	μB/f.u.
energy of formation from the pure elements	2.03	eV per atom

***

Density functional theory data (PBE) for La5Pr2Sb5 after structural relaxation.

a = 14.9301 Å, b = 4.5265 Å, c = 13.3066 Å
α = 90.00°, β = 107.90°, γ = 90.00°
With the nearest neighbours (Å) after each atom.
Space group C2/m (No. 12)
Inequivalent atoms, fractional coordinates:
La 0.0000 0.0000 0.0000 [2 per cell]  4 Sb 3.21
La 0.1602 0.0000 0.5465 [4 per cell]  5 Sb 3.21-3.46
La 0.2308 0.0000 0.8454 [4 per cell]  5 Sb 3.10-3.41
Pr 0.0346 0.5000 0.2831 [4 per cell]  4 Sb 3.08-3.18
Sb 0.0000 0.5000 0.5000 [2 per cell]  2 Pr 3.08, 4 La 3.21
Sb 0.1225 0.5000 0.9314 [4 per cell]  1 Pr 3.09, 5 La 3.10-3.21
Sb 0.1880 0.0000 0.2975 [4 per cell]  2 Pr 3.18, 5 La 3.41-3.46

Properties
VASP energy	-132.99	eV per cell
M_tot	0.2	μB/f.u.
formation energy without anion corrections	-0.97	eV per atom

***

Density functional theory data (PBE) for PrZnGa2 after structural relaxation.

a = 4.2983 Å, b = 4.2983 Å, c = 16.0623 Å
α = 90.00°, β = 90.00°, γ = 120.00°
With the nearest neighbours (Å) after each atom.
Space group R-3m (No. 166, hexagonal axes)
Inequivalent atoms, fractional coordinates:
Pr 0.0000 0.0000 0.0000 [3 per cell]  6 Ga 3.10
Zn 0.0000 0.0000 0.5000 [3 per cell]  6 Ga 2.61
Ga 0.0000 0.0000 0.2173 [6 per cell]  3 Zn 2.61

Properties
VASP energy	-41.92	eV per cell
M_tot	0.0	μB/f.u.
energy of formation from the pure elements	-0.47	eV per atom

***

Density functional theory data (PBE) for LiHo3Ge2O8F2 after structural relaxation.

a = 17.7241 Å, b = 5.1106 Å, c = 11.6951 Å
α = 90.00°, β = 130.56°, γ = 90.00°
With the nearest neighbours (Å) after each atom.
Space group C2/c (No. 15)
Inequivalent atoms, fractional coordinates:
Li 0.2500 0.2500 0.0000 [4 per cell]  4 O 2.12
Ho 0.0000 0.2110 0.7500 [4 per cell]  2 F 2.24, 4 O 2.29-2.36
Ho 0.1227 0.2047 0.1521 [8 per cell]  1 F 2.23, 6 O 2.28-2.45
Ge 0.1440 0.2357 0.4891 [8 per cell]  4 O 1.76-1.81
O 0.0322 0.0738 0.4282 [8 per cell]  1 Ge 1.81
O 0.1314 0.4208 0.9764 [8 per cell]  1 Ge 1.76
O 0.1548 0.0681 0.3662 [8 per cell]  1 Ge 1.79
O 0.2273 0.0976 0.6706 [8 per cell]  1 Ge 1.76
F 0.0721 0.4134 0.6733 [8 per cell]  2 Ho 2.23-2.24

Properties
VASP energy	-459.11	eV per cell
M_tot	0.0	μB/f.u.
formation energy without anion corrections	-2.91	eV per atom

***

Density functional theory data (PBE) for PmGdLuRu after structural relaxation.

a = 7.3407 Å, b = 7.3407 Å, c = 7.3407 Å
α = 90.00°, β = 90.00°, γ = 90.00°
With the nearest neighbours (Å) after each atom.
Space group F-43m (No. 216)
Inequivalent atoms, fractional coordinates:
Pm 0.0000 0.0000 0.0000 [4 per cell]  4 Ru 3.18, 4 Lu 3.18
Gd 0.0000 0.0000 0.5000 [4 per cell]  4 Ru 3.18, 4 Lu 3.18
Lu 0.2500 0.2500 0.7500 [4 per cell]  4 Pm 3.18, 4 Gd 3.18
Ru 0.2500 0.2500 0.2500 [4 per cell]  4 Gd 3.18, 4 Pm 3.18

Properties
VASP energy	-128.77	eV per cell
M_tot	7.2	μB/f.u.
energy of formation from the pure elements	0.11	eV per atom

***

Density functional theory data (PBE) for BRh3Pb after structural relaxation.

a = 11.2531 Å, b = 9.3326 Å, c = 5.6985 Å
α = 90.00°, β = 90.03°, γ = 90.00°
With the nearest neighbours (Å) after each atom.
Space group C2/c (No. 15)
Inequivalent atoms, fractional coordinates:
B 0.2498 0.0833 0.0903 [8 per cell]  6 Rh 2.13-2.22
Rh 0.1283 0.4479 0.6204 [8 per cell]  2 B 2.16-2.22
Rh 0.1286 0.0527 0.3813 [8 per cell]  2 B 2.17-2.21
Rh 0.2499 0.1990 0.7671 [8 per cell]  2 B 2.13-2.19
Pb 0.0000 0.1875 0.7500 [4 per cell]  8 Rh 2.77-2.92, 2 Pb 3.08
Pb 0.0000 0.3121 0.2500 [4 per cell]  8 Rh 2.77-2.92, 2 Pb 3.08

Properties
VASP energy	-265.86	eV per cell
M_tot	0.0	μB/f.u.
energy of formation from the pure elements	-0.16	eV per atom

***

Density functional theory data (PBE) for HoCrInCl6 after structural relaxation.

a = 6.9443 Å, b = 11.3283 Å, c = 7.1200 Å
α = 90.00°, β = 92.81°, γ = 90.00°
With the nearest neighbours (Å) after each atom.
Space group C2 (No. 5)
Inequivalent atoms, fractional coordinates:
Ho 0.0000 0.0000 0.0000 [2 per cell]  6 Cl 2.58-2.69
Cr 0.0000 0.3399 0.0000 [2 per cell]  4 Cl 2.40-2.41
In 0.0000 0.6794 0.5000 [2 per cell]  6 Cl 3.06-3.40
Cl 0.1255 0.1870 0.2037 [4 per cell]  1 Cr 2.40
Cl 0.1751 0.4866 0.1848 [4 per cell]  1 Cr 2.41, 1 Ho 2.67
Cl 0.1762 0.8602 0.2382 [4 per cell]  1 Ho 2.58, 1 Cr 2.89

Properties
VASP energy	-83.28	eV per cell
M_tot	4.0	μB/f.u.
formation energy without anion corrections	-1.51	eV per atom

***

Density functional theory data (PBE) for Cr2TeW after structural relaxation.

a = 8.3398 Å, b = 3.1366 Å, c = 4.9212 Å
α = 90.00°, β = 101.54°, γ = 90.00°
With the nearest neighbours (Å) after each atom.
Space group C2/m (No. 12)
Inequivalent atoms, fractional coordinates:
Cr 0.2393 0.0000 0.2176 [4 per cell]  3 W 2.60-2.61, 3 Te 2.65-2.81, 2 Cr 2.69
Te 0.0000 0.0000 0.5000 [2 per cell]  6 Cr 2.65-2.81, 4 W 2.92
W 0.0000 0.5000 0.0000 [2 per cell]  6 Cr 2.60-2.61

Properties
VASP energy	-65.69	eV per cell
M_tot	0.0	μB/f.u.
formation energy without anion corrections	0.62	eV per atom

***

Density functional theory data (PBE) for ScPaRe2 after structural relaxation.

a = 6.7046 Å, b = 6.7046 Å, c = 6.7046 Å
α = 90.00°, β = 90.00°, γ = 90.00°
With the nearest neighbours (Å) after each atom.
Space group Fm-3m (No. 225)
Inequivalent atoms, fractional coordinates:
Sc 0.0000 0.0000 0.0000 [4 per cell]  8 Re 2.90
Pa 0.0000 0.0000 0.5000 [4 per cell]  8 Re 2.90
Re 0.2500 0.2500 0.2500 [8 per cell]  4 Pa 2.90, 4 Sc 2.90

Properties
VASP energy	-164.68	eV per cell
M_tot	0.0	μB/f.u.
energy of formation from the pure elements	-0.11	eV per atom

***

Density functional theory data (PBE) for HoGe2PdRh2 after structural relaxation.

a = 4.6086 Å, b = 4.6086 Å, c = 5.4954 Å
α = 90.00°, β = 90.00°, γ = 90.00°
With the nearest neighbours (Å) after each atom.
Space group P4/mmm (No. 123)
Inequivalent atoms, fractional coordinates:
Ho 0.0000 0.0000 0.0000 [1 per cell]  2 Pd 2.75
Ge 0.0000 0.5000 0.5000 [2 per cell]  2 Pd 2.30
Pd 0.0000 0.0000 0.5000 [1 per cell]  4 Ge 2.30
Rh 0.5000 0.5000 0.2422 [2 per cell]  2 Rh 2.66-2.83, 4 Ge 2.70

Properties
VASP energy	-34.72	eV per cell
M_tot	0.0	μB/f.u.
energy of formation from the pure elements	-0.17	eV per atom

***

Density functional theory data (PBE) for GaRe after structural relaxation.

a = 3.1161 Å, b = 3.1161 Å, c = 6.0418 Å
α = 90.00°, β = 90.00°, γ = 90.00°
With the nearest neighbours (Å) after each atom.
Space group P4/nmm (No. 129, origin choice 2)
Inequivalent atoms, fractional coordinates:
Ga 0.2500 0.2500 0.1249 [2 per cell]  4 Re 2.64, 4 Ga 2.67
Re 0.2500 0.2500 0.6330 [2 per cell]  4 Ga 2.64, 4 Re 2.73

Properties
VASP energy	-31.08	eV per cell
M_tot	0.0	μB/f.u.
energy of formation from the pure elements	-0.03	eV per atom

***

Density functional theory data (PBE) for DyY2CdN after structural relaxation.

a = 4.8394 Å, b = 4.8394 Å, c = 4.8324 Å
α = 90.00°, β = 90.00°, γ = 90.00°
With the nearest neighbours (Å) after each atom.
Space group P4/mmm (No. 123)
Inequivalent atoms, fractional coordinates:
Dy 0.0000 0.0000 0.0000 [1 per cell]  2 N 2.42
Y 0.0000 0.5000 0.5000 [2 per cell]  2 N 2.42
Cd 0.5000 0.5000 0.0000 [1 per cell]  8 Y 3.42, 4 Dy 3.42
N 0.0000 0.0000 0.5000 [1 per cell]  2 Dy 2.42, 4 Y 2.42

Properties
VASP energy	-31.07	eV per cell
M_tot	0.0	μB/f.u.
formation energy without anion corrections	-0.86	eV per atom

***

Density functional theory data (PBE) for HRhCl2 after structural relaxation.

a = 3.0806 Å, b = 3.0806 Å, c = 21.1078 Å
α = 90.00°, β = 90.00°, γ = 120.00°
With the nearest neighbours (Å) after each atom.
Space group R-3m (No. 166, hexagonal axes)
Inequivalent atoms, fractional coordinates:
H 0.0000 0.0000 0.0000 [3 per cell]  6 Cl 2.19
Rh 0.0000 0.0000 0.5000 [3 per cell]  2 Cl 2.24
Cl 0.0000 0.0000 0.3936 [6 per cell]  3 H 2.19, 1 Rh 2.24

Properties
VASP energy	-38.02	eV per cell
M_tot	0.0	μB/f.u.

***

Density functional theory data (PBE) for SrCu2Br after structural relaxation.

a = 7.2058 Å, b = 7.2058 Å, c = 7.2058 Å
α = 90.00°, β = 90.00°, γ = 90.00°
With the nearest neighbours (Å) after each atom.
Space group Fm-3m (No. 225)
Inequivalent atoms, fractional coordinates:
Sr 0.0000 0.0000 0.0000 [4 per cell]  8 Cu 3.12
Cu 0.2500 0.2500 0.2500 [8 per cell]  4 Sr 3.12, 4 Br 3.12
Br 0.0000 0.0000 0.5000 [4 per cell]  8 Cu 3.12

Properties
VASP energy	-43.76	eV per cell
M_tot	0.0	μB/f.u.
formation energy without anion corrections	0.15	eV per atom

***

Density functional theory data (PBE) for Zr2TaP after structural relaxation.

a = 4.2021 Å, b = 3.6085 Å, c = 10.1959 Å
α = 90.00°, β = 90.00°, γ = 90.00°
With the nearest neighbours (Å) after each atom.
Space group Amm2 (No. 38)
Inequivalent atoms, fractional coordinates:
Zr 0.0000 0.0000 0.0000 [2 per cell]  3 Ta 2.82-2.91, 4 P 2.84
Zr 0.5000 0.0000 0.2860 [2 per cell]  3 P 2.83-2.90, 4 Ta 2.84
Ta 0.0000 0.0000 0.7238 [2 per cell]  2 P 2.66, 7 Zr 2.82-2.91
P 0.5000 0.0000 0.5638 [2 per cell]  2 Ta 2.66, 7 Zr 2.83-2.90

Properties
VASP energy	-72.59	eV per cell
M_tot	0.0	μB/f.u.
energy of formation from the pure elements	-0.48	eV per atom

***

Density functional theory data (PBE) for BiSeNO2 after structural relaxation.

a = 3.9468 Å, b = 3.9468 Å, c = 4.2016 Å
α = 90.00°, β = 90.00°, γ = 90.00°
With the nearest neighbours (Å) after each atom.
Space group P4/mmm (No. 123)
Inequivalent atoms, fractional coordinates:
Bi 0.0000 0.0000 0.0000 [1 per cell]  4 N 2.79, 8 O 2.88
Se 0.5000 0.5000 0.5000 [1 per cell]  4 O 1.97, 2 N 2.10
N 0.5000 0.5000 0.0000 [1 per cell]  2 Se 2.10
O 0.0000 0.5000 0.5000 [2 per cell]  2 Se 1.97

Properties
VASP energy	-24.73	eV per cell
M_tot	0.0	μB/f.u.
formation energy without anion corrections	0.18	eV per atom

***

Density functional theory data (PBE) for CsScCu2F8 after structural relaxation.

a = 5.5759 Å, b = 5.5759 Å, c = 23.2248 Å
α = 90.00°, β = 90.00°, γ = 120.00°
With the nearest neighbours (Å) after each atom.
Space group R-3 (No. 148, hexagonal axes)
Inequivalent atoms, fractional coordinates:
Cs 0.0000 0.0000 0.0000 [3 per cell]  12 F 3.25-3.37
Sc 0.0000 0.0000 0.5000 [3 per cell]  6 F 2.04
Cu 0.0000 0.0000 0.2346 [6 per cell]  4 F 1.81-1.98
F 0.0000 0.0000 0.3127 [6 per cell]  1 Cu 1.81
F 0.0048 0.6997 0.4508 [18 per cell]  1 Cu 1.98, 1 Sc 2.04

Properties
VASP energy	-179.02	eV per cell
M_tot	2.0	μB/f.u.
formation energy without anion corrections	-2.44	eV per atom

***

Density functional theory data (PBE) for GeSbIO2 after structural relaxation.

a = 4.1063 Å, b = 4.1063 Å, c = 7.1026 Å
α = 90.00°, β = 90.00°, γ = 90.00°
With the nearest neighbours (Å) after each atom.
Space group P4/mmm (No. 123)
Inequivalent atoms, fractional coordinates:
Ge 0.0000 0.0000 0.0000 [1 per cell]  4 I 2.90
Sb 0.5000 0.5000 0.5000 [1 per cell]  4 O 2.05
I 0.5000 0.5000 0.0000 [1 per cell]  4 Ge 2.90
O 0.0000 0.5000 0.5000 [2 per cell]  2 Sb 2.05

Properties
VASP energy	-21.14	eV per cell
M_tot	1.0	μB/f.u.
formation energy without anion corrections	-0.19	eV per atom

***

Density functional theory data (PBE) for Ba2AgI after structural relaxation.

a = 9.0587 Å, b = 9.0587 Å, c = 9.2752 Å
α = 90.00°, β = 90.00°, γ = 90.00°
With the nearest neighbours (Å) after each atom.
Space group I-42d (No. 122)
Inequivalent atoms, fractional coordinates:
Ba 0.2270 0.2500 0.1250 [8 per cell]  2 Ag 3.27, 2 I 3.55
Ag 0.0000 0.0000 0.0000 [4 per cell]  4 Ba 3.27
I 0.0000 0.0000 0.5000 [4 per cell]  4 Ba 3.55

Properties
VASP energy	-42.69	eV per cell
M_tot	0.0	μB/f.u.
formation energy without anion corrections	-0.61	eV per atom